DFT (PBE) results for an optimized crystal structure of Ac2In5Hg3.

CIF file:
```
data_Ac2In5Hg3
_cell_length_a 12.135
_cell_length_b 13.673
_cell_length_c 6.827
_cell_angle_alpha 90.00
_cell_angle_beta 90.00
_cell_angle_gamma 90.00
_space_group_name_H-M_alt 'I b a m'
_space_group_IT_number 72
_space_group_name_Hall '-I 2 2c'
loop_
_atom_site_label
_atom_site_type_symbol
_atom_site_fract_x
_atom_site_fract_y
_atom_site_fract_z
Ac1 Ac 0.241 0.124 0.000
In1 In 0.000 0.260 0.250
In2 In 0.000 0.500 0.250
In3 In 0.130 0.127 0.500
Hg1 Hg 0.000 0.000 0.250
Hg2 Hg 0.143 0.380 0.000
```

Results
Formation energy in eV/atom: -0.326
Calculated volume in Å³ per atom: 28.32

DFT (PBE) results for an optimized crystal structure of La2ZnGe4Pt3.

CIF file:
```
data_La2ZnGe4Pt3
_cell_length_a 4.403
_cell_length_b 4.403
_cell_length_c 10.236
_cell_angle_alpha 90.00
_cell_angle_beta 90.00
_cell_angle_gamma 90.00
_space_group_name_H-M_alt 'P -4 m 2'
_space_group_IT_number 115
loop_
_space_group_symop_operation_xyz
'x,y,z'
'y,-x,-z'
'-x,-y,z'
'-y,x,-z'
'-x,y,z'
'-y,-x,-z'
'x,-y,z'
'y,x,-z'
loop_
_atom_site_label
_atom_site_type_symbol
_atom_site_fract_x
_atom_site_fract_y
_atom_site_fract_z
La1 La 0.000 0.500 0.250
Zn1 Zn 0.000 0.000 0.500
Ge1 Ge 0.000 0.000 0.000
Ge2 Ge 0.000 0.500 0.634
Ge3 Ge 0.500 0.500 0.000
Pt1 Pt 0.000 0.500 0.878
Pt2 Pt 0.500 0.500 0.500
```

Results
Formation energy in eV/atom: -0.896
Calculated volume in Å³ per atom: 19.85

DFT (PBE) results for an optimized crystal structure of PrTl2IrO8.

CIF file:
```
data_PrTl2IrO8
_cell_length_a 5.107
_cell_length_b 5.124
_cell_length_c 6.879
_cell_angle_alpha 93.33
_cell_angle_beta 91.96
_cell_angle_gamma 90.82
_space_group_name_H-M_alt 'P -1'
_space_group_IT_number 2
loop_
_space_group_symop_operation_xyz
'x,y,z'
'-x,-y,-z'
loop_
_atom_site_label
_atom_site_type_symbol
_atom_site_fract_x
_atom_site_fract_y
_atom_site_fract_z
Pr1 Pr 0.000 0.000 0.000
Tl1 Tl 0.478 0.468 0.748
Ir1 Ir 0.000 0.000 0.500
O1 O 0.142 0.785 0.291
O2 O 0.167 0.810 0.698
O3 O 0.301 0.240 0.496
O4 O 0.355 0.278 0.021
```

Results
ΔE_f (raw) in meV per atom: -1051
Calculated volume in Å³ per atom: 14.96

DFT (PBE) results for an optimized crystal structure of Li2CaSm2Ga2.

CIF file:
```
data_Li2CaSm2Ga2
_cell_length_a 4.6869
_cell_length_b 4.6869
_cell_length_c 27.2995
_cell_angle_alpha 90.00
_cell_angle_beta 90.00
_cell_angle_gamma 120.00
_space_group_name_H-M_alt 'R -3 m'
_space_group_IT_number 166
_space_group_name_Hall '-R 3 2"'
loop_
_atom_site_label
_atom_site_type_symbol
_atom_site_fract_x
_atom_site_fract_y
_atom_site_fract_z
Li1 Li 0.0000 0.0000 0.1048
Ca1 Ca 0.0000 0.0000 0.5000
Sm1 Sm 0.0000 0.0000 0.3732
Ga1 Ga 0.0000 0.0000 0.2431
```

Results
Formation energy in eV/atom: -0.257
Calculated volume in Å³ per atom: 24.73

Calculated total energy? In order: -2.6076 -5.6677 -5.8880 -3.3029 eV/atom.